[1]
A geometry-optimized Y2IrC structure. Source: Alexandria, functional PBE-GGA.

Lattice parameters (Å, degrees): 6.931 6.931 6.758 90.00 90.00 90.00
Positions (direct):
Y (0.199, 0.250, 0.125)
Y (0.250, 0.699, 0.375)
Y (0.250, 0.801, 0.875)
Y (0.301, 0.250, 0.625)
Y (0.699, 0.750, 0.625)
Y (0.750, 0.199, 0.875)
Y (0.750, 0.301, 0.375)
Y (0.801, 0.750, 0.125)
Ir (0.000, 0.000, 0.500)
Ir (0.000, 0.500, 0.750)
Ir (0.500, 0.000, 0.250)
Ir (0.500, 0.500, 0.000)
C (0.000, 0.000, 0.000)
C (0.000, 0.500, 0.250)
C (0.500, 0.000, 0.750)
C (0.500, 0.500, 0.500)

Summary:
DOS at the Fermi energy = 2.8 states/eV/f.u.
Calculated volume = 81 Å³/f.u.
Energy of formation from the pure elements = 9.37 kJ per mole of atoms
Symmetry = I-42d, No. 122


[2]
A geometry-optimized YIrC structure. Source: Alexandria, functional PBE-GGA.

Lattice parameters (Å, degrees): 3.865 4.727 6.218 104.76 90.07 114.08
Positions (direct):
Y (0.103, 0.206, 0.302)
Y (0.897, 0.794, 0.698)
Ir (0.348, 0.696, 0.079)
Ir (0.652, 0.304, 0.921)
C (0.425, 0.850, 0.419)
C (0.575, 0.150, 0.581)

Summary:
DOS at the Fermi energy = 1.8 states/eV/f.u.
Calculated volume = 50 Å³/f.u.
Energy above the most stable polymorph in this dataset = 0 meV per atom
Energy of formation from the pure elements = -23.24 kJ per mole of atoms
Symmetry = P-1, No. 2


[3]
A geometry-optimized YIrC structure. Source: Alexandria, functional PBE-GGA.

Lattice parameters (Å, degrees): 5.485 5.485 6.868 90.00 90.00 78.10
Positions (direct):
Y (0.188, 0.188, 0.000)
Y (0.312, 0.312, 0.500)
Y (0.688, 0.688, 0.500)
Y (0.812, 0.812, 0.000)
Ir (0.144, 0.856, 0.643)
Ir (0.356, 0.644, 0.143)
Ir (0.644, 0.356, 0.857)
Ir (0.856, 0.144, 0.357)
C (0.156, 0.844, 0.338)
C (0.344, 0.656, 0.838)
C (0.656, 0.344, 0.162)
C (0.844, 0.156, 0.662)

Summary:
DOS at the Fermi energy = 2.0 states/eV/f.u.
Calculated volume = 51 Å³/f.u.
Energy above the most stable polymorph in this dataset = 32 meV per atom
Energy of formation from the pure elements = -20.12 kJ per mole of atoms
Symmetry = Cmce, No. 64


[4]
A geometry-optimized YIrC2 structure. Source: Alexandria, functional PBE-GGA.

Lattice parameters (Å, degrees): 5.777 5.777 5.777 90.00 90.00 90.00
Positions (direct):
Y (0.000, 0.000, 0.000)
Y (0.000, 0.500, 0.500)
Y (0.500, 0.000, 0.500)
Y (0.500, 0.500, 0.000)
Ir (0.000, 0.000, 0.500)
Ir (0.000, 0.500, 0.000)
Ir (0.500, 0.000, 0.000)
Ir (0.500, 0.500, 0.500)
C (0.250, 0.250, 0.250)
C (0.250, 0.250, 0.750)
C (0.250, 0.750, 0.250)
C (0.250, 0.750, 0.750)
C (0.750, 0.250, 0.250)
C (0.750, 0.250, 0.750)
C (0.750, 0.750, 0.250)
C (0.750, 0.750, 0.750)

Summary:
DOS at the Fermi energy = 0.3 states/eV/f.u.
Calculated volume = 48 Å³/f.u.
Energy above the most stable polymorph in this dataset = 533 meV per atom
Energy of formation from the pure elements = 78.77 kJ per mole of atoms
Symmetry = Fm-3m, No. 225


[5]
A geometry-optimized YIr2C structure. Source: Alexandria, functional PBE-GGA.

Lattice parameters (Å, degrees): 4.903 4.903 12.744 90.00 90.00 90.00
Positions (direct):
Y (0.000, 0.000, 0.000)
Y (0.000, 0.500, 0.250)
Y (0.500, 0.000, 0.750)
Y (0.500, 0.500, 0.500)
Ir (0.068, 0.250, 0.625)
Ir (0.250, 0.568, 0.875)
Ir (0.250, 0.932, 0.375)
Ir (0.432, 0.250, 0.125)
Ir (0.568, 0.750, 0.125)
Ir (0.750, 0.068, 0.375)
Ir (0.750, 0.432, 0.875)
Ir (0.932, 0.750, 0.625)
C (0.000, 0.000, 0.500)
C (0.000, 0.500, 0.750)
C (0.500, 0.000, 0.250)
C (0.500, 0.500, 0.000)

Summary:
DOS at the Fermi energy = 3.0 states/eV/f.u.
Calculated volume = 77 Å³/f.u.
Energy of formation from the pure elements = 9.76 kJ per mole of atoms
Symmetry = I-42d, No. 122


[6]
A geometry-optimized YIrC2 structure. Source: Alexandria, functional PBE-GGA.

Lattice parameters (Å, degrees): 4.843 4.843 10.631 90.00 90.00 90.00
Positions (direct):
Y (0.000, 0.000, 0.000)
Y (0.000, 0.500, 0.250)
Y (0.500, 0.000, 0.750)
Y (0.500, 0.500, 0.500)
Ir (0.000, 0.000, 0.500)
Ir (0.000, 0.500, 0.750)
Ir (0.500, 0.000, 0.250)
Ir (0.500, 0.500, 0.000)
C (0.166, 0.250, 0.625)
C (0.250, 0.666, 0.875)
C (0.250, 0.834, 0.375)
C (0.334, 0.250, 0.125)
C (0.666, 0.750, 0.125)
C (0.750, 0.166, 0.375)
C (0.750, 0.334, 0.875)
C (0.834, 0.750, 0.625)

Summary:
DOS at the Fermi energy = 1.0 states/eV/f.u.
Calculated volume = 62 Å³/f.u.
Energy above the most stable polymorph in this dataset = 0 meV per atom
Energy of formation from the pure elements = 27.35 kJ per mole of atoms
Symmetry = I-42d, No. 122